{"formula": "AcTlGaPd", "functional": "PBE", "state": "optimized geometry", "cell": [[-3.806, 0.727, 3.445], [-4.819, -1.573, -1.090], [-2.034, -4.055, 2.511]], "species": ["Tl", "Ga", "Ac", "Pd"], "fractional_positions": [[0.250, 0.250, 0.250], [0.500, 0.500, 0.500], [0.750, 0.750, 0.750], [0.000, 0.000, 0.000]], "dos_ef_per_ev_fu": 2.488, "space_group": "No. 216", "energy_ev_per_atom": -4.09}